Record 1
A relaxed Nd2Cu3Ge crystal, computed with PBE.

Lattice parameters (Å, degrees): 3.825 4.252 7.580 90.00 90.00 90.00
Sites, in units of the cell vectors:
1 Nd 0.000 0.500 0.999
2 Nd 0.000 0.000 0.500
3 Cu 0.500 0.000 0.838
4 Cu 0.500 0.000 0.168
5 Cu 0.500 0.500 0.664
6 Ge 0.500 0.500 0.332

Results
- Symmetry: Pmm2, No. 25
- ΔE_f: -37 kJ per mole of atoms
- Calculated total energy: -4.7905 eV/atom

***

Record 2
A relaxed CaZnGa2Co crystal, computed with PBE.

Lattice parameters (Å, degrees): 4.555 4.555 4.672 90.00 90.00 90.00
Sites, in units of the cell vectors:
1 Zn 0.000 0.000 0.500
2 Co 0.000 0.000 0.000
3 Ca 0.500 0.500 0.500
4 Ga 0.000 0.500 0.000
5 Ga 0.500 0.000 0.000

Results
- Symmetry: P4/mmm, No. 123
- ΔE_f: -27 kJ per mole of atoms
- Calculated total energy: -3.5653 eV/atom

***

Record 3
A relaxed AcGaHgPd crystal, computed with PBE.

Lattice parameters (Å, degrees): 5.179 5.179 5.179 60.00 60.00 60.00
Sites, in units of the cell vectors:
1 Ac 0.750 0.750 0.750
2 Ga 0.250 0.250 0.250
3 Hg 0.000 0.000 0.000
4 Pd 0.500 0.500 0.500

Results
- Symmetry: F-43m, No. 216
- ΔE_f: -41 kJ per mole of atoms
- Calculated total energy: -3.5841 eV/atom

***

Record 4
A relaxed Ta2VH4 crystal, computed with PBE.

Lattice parameters (Å, degrees): 2.874 5.039 5.039 120.58 90.00 90.00
Sites, in units of the cell vectors:
1 Ta 0.500 0.160 0.840
2 Ta 0.500 0.840 0.160
3 V 0.000 0.500 0.500
4 H 0.500 0.268 0.268
5 H 0.000 0.701 0.299
6 H 0.500 0.732 0.732
7 H 0.000 0.299 0.701

Results
- Symmetry: Cmmm, No. 65
- Energy relative to the lowest polymorph listed for this composition: 110 meV per atom
- Calculated total energy: -6.4982 eV/atom

***

Question: Which of these has the highest calculated total energy?
Answer: CaZnGa2Co

***

Question: What is the formula in the fourth record?
Answer: Ta2VH4

***

Question: Which of these has the lowest calculated total energy?
Answer: Ta2VH4